# NdEu6 PBE optimized geometry
data_NdEu6
_symmetry_space_group_name_H-M 'I m -3 m'
_symmetry_Int_Tables_number 229
_symmetry_space_group_name_Hall '-I 4 2 3'
_cell_length_a 8.424
_cell_length_b 8.424
_cell_length_c 8.424
_cell_angle_alpha 90.00
_cell_angle_beta 90.00
_cell_angle_gamma 90.00
loop_
_atom_site_label
_atom_site_type_symbol
_atom_site_fract_x
_atom_site_fract_y
_atom_site_fract_z
Nd1 Nd 0.000 0.000 0.000
Eu1 Eu 0.000 0.250 0.500
# ρ (g cm⁻³): 5.9
# Formation energy from the elements (meV per atom): 1058
# DOS at the Fermi energy (states/eV/f.u.): 13.9
# E (Ry/atom): -0.6196